# Li2Cr2O7 (GGA+U, optimized geometry)
data_Li2Cr2O7
_chemical_formula_sum 'Li8 Cr8 O28'
_cell_length_a 8.3691
_cell_length_b 5.7393
_cell_length_c 14.9048
_cell_angle_alpha 90.00
_cell_angle_beta 115.91
_cell_angle_gamma 90.00
_space_group_name_H-M_alt 'P 1 21/c 1'
_space_group_IT_number 14
loop_
_space_group_symop_operation_xyz
'x,y,z'
'-x,-y,-z'
'-x,y+1/2,-z+1/2'
'x,-y+1/2,z+1/2'
loop_
_atom_site_label
_atom_site_type_symbol
_atom_site_fract_x
_atom_site_fract_y
_atom_site_fract_z
_atom_site_occupancy
Li1 Li 0.0412 0.0682 0.4225 1
Li2 Li 0.2547 0.2151 0.6932 1
Cr1 Cr 0.1875 0.5974 0.3704 1
Cr2 Cr 0.3402 0.7481 0.0924 1
O1 O 0.0139 0.7336 0.8470 1
O2 O 0.1458 0.1686 0.8912 1
O3 O 0.1923 0.5323 0.0720 1
O4 O 0.2438 0.6024 0.2791 1
O5 O 0.2661 0.5119 0.6172 1
O6 O 0.3658 0.7106 0.4811 1
O7 O 0.4685 0.1794 0.3185 1
# Crystal system: monoclinic
# Uncorrected energy, eV for the cell shown: -278.2
# Magnetic moment, μB per formula unit: 0.00
# DOS(E_F), states/eV/atom: 0.000